[1]
# Pm2Nd4DyEr PBE optimized geometry
# DOS(E_F) = 1.393 states/eV/atom
# V = 33.916 A^3/atom
# DFT formation energy = 0.0139 eV per atom
# E_tot = -4.70 eV/atom
data_Pm2Nd4DyEr
_cell_length_a 5.164
_cell_length_b 5.141
_cell_length_c 11.448
_cell_angle_alpha 63.23
_cell_angle_beta 90.00
_cell_angle_gamma 90.00
_symmetry_space_group_name_H-M 'P 1'
_symmetry_Int_Tables_number 1
_symmetry_space_group_name_Hall 'P 1'
loop_
_atom_site_label
_atom_site_type_symbol
_atom_site_fract_x
_atom_site_fract_y
_atom_site_fract_z
Pm1 Pm 0.000 0.000 0.000
Pm2 Pm 0.500 0.000 0.500
Nd1 Nd 0.000 0.750 0.750
Nd2 Nd 0.000 0.250 0.250
Nd3 Nd 0.500 0.751 0.249
Nd4 Nd 0.500 0.249 0.751
Dy1 Dy 0.000 0.500 0.500
Er1 Er 0.500 0.500 0.000

[2]
# PmNd2DyEr4 PBE optimized geometry
# DOS(E_F) = 2.315 states/eV/atom
# V = 33.326 A^3/atom
# DFT formation energy = 0.4201 eV per atom
# E_tot = -4.22 eV/atom
data_PmNd2DyEr4
_cell_length_a 9.512
_cell_length_b 9.512
_cell_length_c 11.823
_cell_angle_alpha 128.43
_cell_angle_beta 128.43
_cell_angle_gamma 88.39
_symmetry_space_group_name_H-M 'P 1'
_symmetry_Int_Tables_number 1
_symmetry_space_group_name_Hall 'P 1'
loop_
_atom_site_label
_atom_site_type_symbol
_atom_site_fract_x
_atom_site_fract_y
_atom_site_fract_z
Pm1 Pm 0.000 0.500 0.000
Pm2 Pm 0.000 0.500 0.500
Nd1 Nd 0.500 0.000 0.000
Nd2 Nd 0.500 0.000 0.500
Nd3 Nd 0.000 0.000 0.500
Nd4 Nd 0.500 0.500 0.000
Dy1 Dy 0.500 0.500 0.500
Dy2 Dy 0.000 0.000 0.000
Er1 Er 0.246 0.753 0.999
Er2 Er 0.747 0.254 0.501
Er3 Er 0.253 0.746 0.499
Er4 Er 0.754 0.247 0.001
Er5 Er 0.750 0.749 0.996
Er6 Er 0.751 0.750 0.504
Er7 Er 0.249 0.250 0.496
Er8 Er 0.250 0.251 0.004

[3]
# PmNd2Dy6Er PBE optimized geometry
# DOS(E_F) = 1.385 states/eV/atom
# V = 32.768 A^3/atom
# DFT formation energy = 0.1159 eV per atom
# E_tot = -4.53 eV/atom
data_PmNd2Dy6Er
_cell_length_a 9.716
_cell_length_b 8.791
_cell_length_c 8.791
_cell_angle_alpha 117.99
_cell_angle_beta 94.49
_cell_angle_gamma 94.49
_symmetry_space_group_name_H-M 'P 1'
_symmetry_Int_Tables_number 1
_symmetry_space_group_name_Hall 'P 1'
loop_
_atom_site_label
_atom_site_type_symbol
_atom_site_fract_x
_atom_site_fract_y
_atom_site_fract_z
Pm1 Pm 0.250 0.982 0.018
Pm2 Pm 0.750 0.018 0.982
Nd1 Nd 0.457 0.805 0.703
Nd2 Nd 0.043 0.297 0.195
Nd3 Nd 0.543 0.195 0.297
Nd4 Nd 0.957 0.703 0.805
Dy1 Dy 0.057 0.123 0.742
Dy2 Dy 0.443 0.258 0.877
Dy3 Dy 0.943 0.877 0.258
Dy4 Dy 0.557 0.742 0.123
Dy5 Dy 0.313 0.980 0.427
Dy6 Dy 0.187 0.573 0.020
Dy7 Dy 0.687 0.020 0.573
Dy8 Dy 0.813 0.427 0.980
Dy9 Dy 0.119 0.706 0.493
Dy10 Dy 0.381 0.507 0.294
Dy11 Dy 0.881 0.294 0.507
Dy12 Dy 0.619 0.493 0.706
Er1 Er 0.250 0.407 0.593
Er2 Er 0.750 0.593 0.407

[4]
# PmNd3Dy2Er6 PBE optimized geometry
# DOS(E_F) = 1.207 states/eV/atom
# V = 31.980 A^3/atom
# DFT formation energy = 0.0176 eV per atom
# E_tot = -4.62 eV/atom
data_PmNd3Dy2Er6
_cell_length_a 6.189
_cell_length_b 6.189
_cell_length_c 11.749
_cell_angle_alpha 95.02
_cell_angle_beta 95.02
_cell_angle_gamma 119.98
_symmetry_space_group_name_H-M 'P 1'
_symmetry_Int_Tables_number 1
_symmetry_space_group_name_Hall 'P 1'
loop_
_atom_site_label
_atom_site_type_symbol
_atom_site_fract_x
_atom_site_fract_y
_atom_site_fract_z
Pm1 Pm 0.000 0.000 0.000
Nd1 Nd 0.167 0.833 0.500
Nd2 Nd 0.833 0.167 0.500
Nd3 Nd 0.500 0.500 0.500
Dy1 Dy 0.333 0.667 0.000
Dy2 Dy 0.667 0.333 0.000
Er1 Er 0.917 0.584 0.753
Er2 Er 0.749 0.749 0.247
Er3 Er 0.083 0.416 0.247
Er4 Er 0.584 0.917 0.753
Er5 Er 0.251 0.251 0.753
Er6 Er 0.416 0.083 0.247

[5]
# Pm4NdDy2Er PBE optimized geometry
# DOS(E_F) = 1.400 states/eV/atom
# V = 33.166 A^3/atom
# DFT formation energy = 0.0169 eV per atom
# E_tot = -4.68 eV/atom
data_Pm4NdDy2Er
_cell_length_a 3.618
_cell_length_b 6.242
_cell_length_c 11.938
_cell_angle_alpha 79.81
_cell_angle_beta 90.00
_cell_angle_gamma 90.00
_symmetry_space_group_name_H-M 'P 1'
_symmetry_Int_Tables_number 1
_symmetry_space_group_name_Hall 'P 1'
loop_
_atom_site_label
_atom_site_type_symbol
_atom_site_fract_x
_atom_site_fract_y
_atom_site_fract_z
Pm1 Pm 0.000 0.750 0.747
Pm2 Pm 0.000 0.250 0.253
Pm3 Pm 0.500 0.751 0.252
Pm4 Pm 0.500 0.249 0.748
Nd1 Nd 0.500 0.500 0.000
Dy1 Dy 0.000 0.000 0.000
Dy2 Dy 0.500 0.000 0.500
Er1 Er 0.000 0.500 0.500

[6]
# Pm3NdDyEr PBE optimized geometry
# DOS(E_F) = 1.463 states/eV/atom
# V = 33.371 A^3/atom
# DFT formation energy = 0.0205 eV per atom
# E_tot = -4.68 eV/atom
data_Pm3NdDyEr
_cell_length_a 5.124
_cell_length_b 8.066
_cell_length_c 10.819
_cell_angle_alpha 116.41
_cell_angle_beta 90.00
_cell_angle_gamma 90.00
_symmetry_space_group_name_H-M 'P 1'
_symmetry_Int_Tables_number 1
_symmetry_space_group_name_Hall 'P 1'
loop_
_atom_site_label
_atom_site_type_symbol
_atom_site_fract_x
_atom_site_fract_y
_atom_site_fract_z
Pm1 Pm 0.750 0.873 0.042
Pm2 Pm 0.250 0.127 0.958
Pm3 Pm 0.250 0.628 0.458
Pm4 Pm 0.750 0.372 0.542
Pm5 Pm 0.750 0.378 0.208
Pm6 Pm 0.250 0.622 0.792
Nd1 Nd 0.250 0.123 0.292
Nd2 Nd 0.750 0.877 0.708
Dy1 Dy 0.250 0.625 0.125
Dy2 Dy 0.750 0.375 0.875
Er1 Er 0.250 0.125 0.625
Er2 Er 0.750 0.875 0.375

[7]
# Pm2NdDy2Er2 PBE optimized geometry
# DOS(E_F) = 1.700 states/eV/atom
# V = 33.439 A^3/atom
# DFT formation energy = 0.1475 eV per atom
# E_tot = -4.51 eV/atom
data_Pm2NdDy2Er2
_cell_length_a 3.503
_cell_length_b 9.236
_cell_length_c 8.461
_cell_angle_alpha 118.86
_cell_angle_beta 90.00
_cell_angle_gamma 100.93
_symmetry_space_group_name_H-M 'P 1'
_symmetry_Int_Tables_number 1
_symmetry_space_group_name_Hall 'P 1'
loop_
_atom_site_label
_atom_site_type_symbol
_atom_site_fract_x
_atom_site_fract_y
_atom_site_fract_z
Pm1 Pm 0.648 0.296 0.910
Pm2 Pm 0.352 0.704 0.090
Nd1 Nd 0.000 0.000 0.500
Dy1 Dy 0.429 0.858 0.765
Dy2 Dy 0.571 0.142 0.235
Er1 Er 0.788 0.576 0.376
Er2 Er 0.212 0.424 0.624

[8]
# PmNd5Dy2Er PBE optimized geometry
# DOS(E_F) = 1.574 states/eV/atom
# V = 34.643 A^3/atom
# DFT formation energy = 0.1424 eV per atom
# E_tot = -4.56 eV/atom
data_PmNd5Dy2Er
_cell_length_a 5.666
_cell_length_b 10.617
_cell_length_c 10.756
_cell_angle_alpha 90.00
_cell_angle_beta 90.00
_cell_angle_gamma 105.48
_symmetry_space_group_name_H-M 'P 1'
_symmetry_Int_Tables_number 1
_symmetry_space_group_name_Hall 'P 1'
loop_
_atom_site_label
_atom_site_type_symbol
_atom_site_fract_x
_atom_site_fract_y
_atom_site_fract_z
Pm1 Pm 0.799 0.599 0.509
Pm2 Pm 0.201 0.401 0.009
Nd1 Nd 0.390 0.779 0.024
Nd2 Nd 0.719 0.438 0.809
Nd3 Nd 0.481 0.962 0.743
Nd4 Nd 0.296 0.593 0.704
Nd5 Nd 0.984 0.968 0.521
Nd6 Nd 0.610 0.221 0.524
Nd7 Nd 0.281 0.562 0.309
Nd8 Nd 0.519 0.038 0.243
Nd9 Nd 0.704 0.407 0.204
Nd10 Nd 0.016 0.032 0.021
Dy1 Dy 0.884 0.768 0.815
Dy2 Dy 0.111 0.221 0.738
Dy3 Dy 0.116 0.232 0.315
Dy4 Dy 0.889 0.779 0.238
Er1 Er 0.591 0.182 0.961
Er2 Er 0.409 0.818 0.461

[9]
# Pm6Nd3DyEr2 PBE optimized geometry
# DOS(E_F) = 1.351 states/eV/atom
# V = 33.663 A^3/atom
# DFT formation energy = 0.0163 eV per atom
# E_tot = -4.69 eV/atom
data_Pm6Nd3DyEr2
_cell_length_a 6.287
_cell_length_b 6.287
_cell_length_c 11.987
_cell_angle_alpha 95.01
_cell_angle_beta 95.01
_cell_angle_gamma 120.01
_symmetry_space_group_name_H-M 'P 1'
_symmetry_Int_Tables_number 1
_symmetry_space_group_name_Hall 'P 1'
loop_
_atom_site_label
_atom_site_type_symbol
_atom_site_fract_x
_atom_site_fract_y
_atom_site_fract_z
Pm1 Pm 0.918 0.584 0.755
Pm2 Pm 0.749 0.749 0.245
Pm3 Pm 0.082 0.416 0.245
Pm4 Pm 0.584 0.918 0.755
Pm5 Pm 0.251 0.251 0.755
Pm6 Pm 0.416 0.082 0.245
Nd1 Nd 0.167 0.833 0.500
Nd2 Nd 0.833 0.167 0.500
Nd3 Nd 0.500 0.500 0.500
Dy1 Dy 0.000 0.000 0.000
Er1 Er 0.333 0.667 0.000
Er2 Er 0.667 0.333 0.000

[10]
# Pm2Nd2Dy2Er PBE optimized geometry
# DOS(E_F) = 2.259 states/eV/atom
# V = 33.477 A^3/atom
# DFT formation energy = 0.1291 eV per atom
# E_tot = -4.56 eV/atom
data_Pm2Nd2Dy2Er
_cell_length_a 5.726
_cell_length_b 5.726
_cell_length_c 8.890
_cell_angle_alpha 71.21
_cell_angle_beta 71.21
_cell_angle_gamma 60.00
_symmetry_space_group_name_H-M 'P 1'
_symmetry_Int_Tables_number 1
_symmetry_space_group_name_Hall 'P 1'
loop_
_atom_site_label
_atom_site_type_symbol
_atom_site_fract_x
_atom_site_fract_y
_atom_site_fract_z
Pm1 Pm 0.714 0.714 0.858
Pm2 Pm 0.286 0.286 0.142
Nd1 Nd 0.139 0.139 0.583
Nd2 Nd 0.861 0.861 0.417
Dy1 Dy 0.571 0.571 0.286
Dy2 Dy 0.429 0.429 0.714
Er1 Er 0.000 0.000 0.000

[11]
# Pm3Nd2DyEr6 PBE optimized geometry
# DOS(E_F) = 1.138 states/eV/atom
# V = 32.125 A^3/atom
# DFT formation energy = 0.0151 eV per atom
# E_tot = -4.63 eV/atom
data_Pm3Nd2DyEr6
_cell_length_a 6.201
_cell_length_b 6.201
_cell_length_c 11.755
_cell_angle_alpha 95.03
_cell_angle_beta 95.03
_cell_angle_gamma 119.98
_symmetry_space_group_name_H-M 'P 1'
_symmetry_Int_Tables_number 1
_symmetry_space_group_name_Hall 'P 1'
loop_
_atom_site_label
_atom_site_type_symbol
_atom_site_fract_x
_atom_site_fract_y
_atom_site_fract_z
Pm1 Pm 0.167 0.833 0.500
Pm2 Pm 0.833 0.167 0.500
Pm3 Pm 0.500 0.500 0.500
Nd1 Nd 0.334 0.666 0.000
Nd2 Nd 0.666 0.334 0.000
Dy1 Dy 0.000 0.000 0.000
Er1 Er 0.917 0.584 0.750
Er2 Er 0.751 0.751 0.250
Er3 Er 0.083 0.416 0.250
Er4 Er 0.584 0.917 0.750
Er5 Er 0.249 0.249 0.750
Er6 Er 0.416 0.083 0.250

[12]
# Pr4NdDyEr2 PBE optimized geometry
# DOS(E_F) = 1.332 states/eV/atom
# V = 33.973 A^3/atom
# DFT formation energy = 0.0119 eV per atom
# E_tot = -4.69 eV/atom
data_Pr4NdDyEr2
_cell_length_a 5.189
_cell_length_b 5.153
_cell_length_c 11.397
_cell_angle_alpha 63.10
_cell_angle_beta 90.00
_cell_angle_gamma 90.00
_symmetry_space_group_name_H-M 'P 1'
_symmetry_Int_Tables_number 1
_symmetry_space_group_name_Hall 'P 1'
loop_
_atom_site_label
_atom_site_type_symbol
_atom_site_fract_x
_atom_site_fract_y
_atom_site_fract_z
Pr1 Pr 0.000 0.753 0.748
Pr2 Pr 0.000 0.247 0.252
Pr3 Pr 0.500 0.746 0.253
Pr4 Pr 0.500 0.254 0.747
Nd1 Nd 0.500 0.500 0.000
Dy1 Dy 0.000 0.500 0.500
Er1 Er 0.000 0.000 0.000
Er2 Er 0.500 0.000 0.500